[1]
# PBE-GGA TeSeBr, relaxed
data_TeSeBr
_symmetry_space_group_name_H-M 'P 3 m 1'
_symmetry_Int_Tables_number 156
_symmetry_space_group_name_Hall 'P 3 -2"'
_cell_length_a 4.3830
_cell_length_b 4.3830
_cell_length_c 5.8843
_cell_angle_alpha 90.00
_cell_angle_beta 90.00
_cell_angle_gamma 120.00
loop_
_atom_site_label
_atom_site_fract_x
_atom_site_fract_y
_atom_site_fract_z
Te1 0.0000 0.0000 0.0000
Se1 0.3333 0.6667 0.7974
Br1 0.6667 0.3333 0.3066
# D(E_F) (states/eV/cell): 1.66
# V (A^3/atom): 32.6
# Uncorrected formation energy (eV/atom): -0.018
# M_tot (μB per formula unit): 0.0



[2]
# PBE-GGA AcTl6Hg12, relaxed
data_AcTl6Hg12
_symmetry_space_group_name_H-M 'R -3 m'
_symmetry_Int_Tables_number 166
_symmetry_space_group_name_Hall '-R 3 2"'
_cell_length_a 14.1140
_cell_length_b 14.1140
_cell_length_c 10.1486
_cell_angle_alpha 90.00
_cell_angle_beta 90.00
_cell_angle_gamma 120.00
loop_
_atom_site_label
_atom_site_fract_x
_atom_site_fract_y
_atom_site_fract_z
Ac1 0.0000 0.0000 0.0000
Tl1 0.0636 0.5318 0.2240
Hg1 0.0000 0.3925 0.5000
Hg2 0.0803 0.1606 0.2660
# D(E_F) (states/eV/cell): 28.57
# V (A^3/atom): 30.7
# ΔE_f (eV/atom): -0.005
# M_tot (μB per formula unit): 0.0



[3]
# PBE-GGA VZnGa3, relaxed
data_VZnGa3
_symmetry_space_group_name_H-M 'P m -3 m'
_symmetry_Int_Tables_number 221
_symmetry_space_group_name_Hall '-P 4 2 3'
_cell_length_a 4.837
_cell_length_b 4.837
_cell_length_c 4.837
_cell_angle_alpha 90.00
_cell_angle_beta 90.00
_cell_angle_gamma 90.00
loop_
_atom_site_label
_atom_site_fract_x
_atom_site_fract_y
_atom_site_fract_z
V1 0.000 0.000 0.000
Zn1 0.500 0.500 0.500
Ga1 0.000 0.000 0.500
# D(E_F) (states/eV/cell): 4.81
# V (A^3/atom): 22.6
# ΔE_f (eV/atom): 0.547
# M_tot (μB per formula unit): 0.2



[4]
# PBE-GGA PmYGa6, relaxed
data_PmYGa6
_symmetry_space_group_name_H-M 'P -6 m 2'
_symmetry_Int_Tables_number 187
_symmetry_space_group_name_Hall 'P -6 2'
_cell_length_a 6.3452
_cell_length_b 6.3452
_cell_length_c 4.6014
_cell_angle_alpha 90.00
_cell_angle_beta 90.00
_cell_angle_gamma 120.00
loop_
_atom_site_label
_atom_site_fract_x
_atom_site_fract_y
_atom_site_fract_z
Pm1 0.0000 0.0000 0.0000
Y1 0.3333 0.6667 0.5000
Ga1 0.3785 0.1892 0.5000
Ga2 0.5206 0.0413 0.0000
# D(E_F) (states/eV/cell): 2.87
# V (A^3/atom): 20.1
# ΔE_f (eV/atom): -0.556
# M_tot (μB per formula unit): 0.0



[5]
# PBE-GGA NbHg2Cl5, relaxed
data_NbHg2Cl5
_symmetry_space_group_name_H-M 'P 1'
_symmetry_Int_Tables_number 1
_symmetry_space_group_name_Hall 'P 1'
_cell_length_a 5.820
_cell_length_b 7.522
_cell_length_c 7.527
_cell_angle_alpha 81.42
_cell_angle_beta 67.26
_cell_angle_gamma 67.29
loop_
_atom_site_label
_atom_site_fract_x
_atom_site_fract_y
_atom_site_fract_z
Nb1 0.000 0.000 0.000
Hg1 0.341 0.500 0.500
Hg2 0.841 0.500 0.500
Cl1 0.059 0.000 0.673
Cl2 0.059 0.673 0.000
Cl3 0.387 0.000 0.000
Cl4 0.732 0.327 0.000
Cl5 0.733 0.000 0.327
# D(E_F) (states/eV/cell): 2.15
# V (A^3/atom): 35.0
# Uncorrected formation energy (eV/atom): -0.907
# M_tot (μB per formula unit): 0.4



[6]
# PBE-GGA Co3MoPt, relaxed
data_Co3MoPt
_symmetry_space_group_name_H-M 'P -1'
_symmetry_Int_Tables_number 2
_symmetry_space_group_name_Hall '-P 1'
_cell_length_a 4.526
_cell_length_b 4.620
_cell_length_c 6.953
_cell_angle_alpha 83.40
_cell_angle_beta 71.03
_cell_angle_gamma 69.18
loop_
_atom_site_label
_atom_site_fract_x
_atom_site_fract_y
_atom_site_fract_z
Co1 0.041 0.250 0.418
Co2 0.148 0.750 0.202
Co3 0.244 0.250 0.012
Mo1 0.441 0.249 0.618
Pt1 0.346 0.750 0.807
# D(E_F) (states/eV/cell): 11.86
# V (A^3/atom): 12.9
# ΔE_f (eV/atom): 0.010
# M_tot (μB per formula unit): 3.7